Density functional theory data (PBE) for crystalline CoBiPbN2 at its relaxed geometry.

Geometry as POSCAR:
```
CoBiPbN2
1.0
4.4075 0.0000 0.0000
0.0000 4.4075 0.0000
0.0000 0.0000 5.0047
Co Bi Pb N
1 1 1 2
direct
0.0000 0.0000 0.0000 Co
0.0000 0.0000 0.5000 Bi
0.5000 0.5000 0.0000 Pb
0.0000 0.5000 0.5000 N
0.5000 0.0000 0.5000 N
```

Output
- Raw formation energy: 1.706 eV per atom
- ρ: 8593 kg/m³

=====

Density functional theory data (PBE) for crystalline CoBiRu2N at its relaxed geometry.

Geometry as POSCAR:
```
CoBiRu2N
1.0
4.4670 0.0000 0.0000
0.0000 4.4670 0.0000
0.0000 0.0000 4.9311
Co Bi Ru N
1 1 2 1
direct
0.0000 0.0000 0.0000 Co
0.0000 0.0000 0.5000 Bi
0.0000 0.5000 0.0000 Ru
0.5000 0.0000 0.0000 Ru
0.5000 0.5000 0.5000 N
```

Output
- Raw formation energy: 2.157 eV per atom
- ρ: 8169 kg/m³

=====

Density functional theory data (PBE) for crystalline CoBiSN2 at its relaxed geometry.

Geometry as POSCAR:
```
CoBiSN2
1.0
4.2488 0.0000 0.0000
0.0000 4.2488 0.0000
0.0000 0.0000 5.4200
Co Bi S N
1 1 1 2
direct
0.0000 0.0000 0.0000 Co
0.5000 0.5000 0.5000 Bi
0.5000 0.5000 0.0000 S
0.0000 0.5000 0.5000 N
0.5000 0.0000 0.5000 N
```

Output
- Raw formation energy: 1.936 eV per atom
- Relative energy among the computed polymorphs: 5.12 eV/f.u.
- ρ: 5567 kg/m³

=====

Density functional theory data (PBE) for crystalline CoBiSN2 at its relaxed geometry.

Geometry as POSCAR:
```
CoBiSN2
1.0
3.8809 0.0000 0.0000
0.0000 3.8809 0.0000
0.0000 0.0000 4.6713
Co Bi S N
1 1 1 2
direct
0.0000 0.0000 0.0000 Co
0.5000 0.5000 0.5000 Bi
0.0000 0.0000 0.5000 S
0.0000 0.5000 0.0000 N
0.5000 0.0000 0.0000 N
```

Output
- Raw formation energy: 0.912 eV per atom
- Relative energy among the computed polymorphs: 0.00 eV/f.u.
- ρ: 7741 kg/m³

=====

Density functional theory data (PBE) for crystalline CoBiSeN2 at its relaxed geometry.

Geometry as POSCAR:
```
CoBiSeN2
1.0
3.9566 0.0000 0.0000
0.0000 3.9566 0.0000
0.0000 0.0000 4.8715
Co Bi Se N
1 1 1 2
direct
0.0000 0.0000 0.0000 Co
0.5000 0.5000 0.5000 Bi
0.0000 0.0000 0.5000 Se
0.0000 0.5000 0.0000 N
0.5000 0.0000 0.0000 N
```

Output
- Raw formation energy: 1.021 eV per atom
- Relative energy among the computed polymorphs: 0.00 eV/f.u.
- ρ: 8163 kg/m³

=====

Density functional theory data (PBE) for crystalline CoBiSeN2 at its relaxed geometry.

Geometry as POSCAR:
```
CoBiSeN2
1.0
4.2477 0.0000 0.0000
0.0000 4.2477 0.0000
0.0000 0.0000 5.8093
Co Bi Se N
1 1 1 2
direct
0.0000 0.0000 0.0000 Co
0.5000 0.5000 0.5000 Bi
0.5000 0.5000 0.0000 Se
0.0000 0.5000 0.5000 N
0.5000 0.0000 0.5000 N
```

Output
- Raw formation energy: 1.905 eV per atom
- Relative energy among the computed polymorphs: 4.42 eV/f.u.
- ρ: 5939 kg/m³

=====

Density functional theory data (PBE) for crystalline Sr2CoBiN at its relaxed geometry.

Geometry as POSCAR:
```
Sr2CoBiN
1.0
5.7928 0.0000 0.0000
0.0000 5.7928 0.0000
0.0000 0.0000 3.5578
Sr Co Bi N
2 1 1 1
direct
0.0000 0.5000 0.0000 Sr
0.5000 0.0000 0.0000 Sr
0.0000 0.0000 0.5000 Co
0.5000 0.5000 0.5000 Bi
0.0000 0.0000 0.0000 N
```

Output
- Raw formation energy: -0.539 eV per atom
- Relative energy among the computed polymorphs: 0.00 eV/f.u.
- ρ: 6359 kg/m³

=====

Density functional theory data (PBE) for crystalline Sr2CoBiN at its relaxed geometry.

Geometry as POSCAR:
```
Sr2CoBiN
1.0
5.1401 0.0000 0.0000
0.0000 5.1401 0.0000
0.0000 0.0000 4.8245
Sr Co Bi N
2 1 1 1
direct
0.0000 0.5000 0.0000 Sr
0.5000 0.0000 0.0000 Sr
0.0000 0.0000 0.5000 Co
0.5000 0.5000 0.5000 Bi
0.5000 0.5000 0.0000 N
```

Output
- Raw formation energy: 0.144 eV per atom
- Relative energy among the computed polymorphs: 3.41 eV/f.u.
- ρ: 5956 kg/m³